# 1
K8Tl10Zn GGA-PBE relaxed; formation energy from the elements = -141.4 meV/atom; D(E_F) = 9.3 states/eV/cell; calculated total energy = -1.9160 eV per atom; calculated density = 5.28 g cm⁻³; symmetry = P4/nnc
1.0
10.437 0.000 0.000
0.000 10.437 0.000
0.000 0.000 13.978
K Tl Zn
16 20 2
Direct
0.046 0.677 0.105
0.046 0.823 0.395
0.177 0.546 0.605
0.177 0.954 0.895
0.323 0.546 0.895
0.323 0.954 0.605
0.454 0.677 0.395
0.454 0.823 0.105
0.546 0.177 0.895
0.546 0.323 0.605
0.677 0.046 0.395
0.677 0.454 0.105
0.823 0.046 0.105
0.823 0.454 0.395
0.954 0.177 0.605
0.954 0.323 0.895
0.009 0.154 0.340
0.009 0.346 0.160
0.154 0.009 0.160
0.154 0.491 0.340
0.250 0.250 0.039
0.250 0.250 0.461
0.346 0.009 0.340
0.346 0.491 0.160
0.491 0.154 0.160
0.491 0.346 0.340
0.509 0.654 0.660
0.509 0.846 0.840
0.654 0.509 0.840
0.654 0.991 0.660
0.750 0.750 0.539
0.750 0.750 0.961
0.846 0.509 0.660
0.846 0.991 0.840
0.991 0.654 0.840
0.991 0.846 0.660
0.250 0.250 0.250
0.750 0.750 0.750

***

# 2
Ce2LuOs GGA-PBE relaxed; formation energy from the elements = 272.3 meV/atom; D(E_F) = 9.2 states/eV/cell; calculated total energy = -6.6323 eV per atom; calculated density = 8.94 g cm⁻³; symmetry = R-3m
1.0
1.856 1.072 10.039
-1.856 1.072 10.039
0.000 -2.143 10.039
Ce Lu Os
2 1 1
Direct
0.110 0.110 0.110
0.890 0.890 0.890
0.000 0.000 0.000
0.500 0.500 0.500

***

# 3
BaPd2Pt GGA-PBE relaxed; formation energy from the elements = -121.5 meV/atom; D(E_F) = 0.6 states/eV/cell; calculated total energy = -4.7088 eV per atom; calculated density = 10.83 g cm⁻³; symmetry = Fm-3m
1.0
0.000 3.470 3.470
3.470 0.000 3.470
3.470 3.470 0.000
Ba Pd Pt
1 2 1
Direct
0.000 0.000 0.000
0.250 0.250 0.250
0.750 0.750 0.750
0.500 0.500 0.500

***

# 4
BaZrP GGA-PBE relaxed; formation energy from the elements = -427.6 meV/atom; D(E_F) = 4.0 states/eV/cell; calculated total energy = -5.7211 eV per atom; calculated density = 4.74 g cm⁻³; symmetry = P-6m2
1.0
4.505 0.000 0.000
-2.252 3.901 0.000
0.000 0.000 5.170
Ba Zr P
1 1 1
Direct
0.000 0.000 0.000
0.333 0.667 0.500
0.667 0.333 0.500

***

# 5
LiEr2Cr GGA-PBE relaxed; formation energy from the elements = 193.4 meV/atom; D(E_F) = 2.6 states/eV/cell; calculated total energy = -4.9724 eV per atom; calculated density = 6.97 g cm⁻³; symmetry = P4/mmm
1.0
3.448 0.000 0.000
0.000 3.448 0.000
0.000 0.000 7.879
Li Er Cr
1 2 1
Direct
0.000 0.000 0.000
0.500 0.500 0.284
0.500 0.500 0.716
0.000 0.000 0.500

***

# 6
Re3C GGA-PBE relaxed; formation energy from the elements = 364.1 meV/atom; D(E_F) = 2.9 states/eV/cell; calculated total energy = -11.2779 eV per atom; calculated density = 17.46 g cm⁻³; symmetry = Pmmm
1.0
2.856 0.000 0.000
0.000 2.900 0.000
0.000 0.000 6.552
Re C
3 1
Direct
0.000 0.000 0.000
0.500 0.500 0.284
0.500 0.500 0.716
0.500 0.000 0.500

***

# 7
Be2ReBi2 GGA-PBE relaxed; formation energy from the elements = 846.8 meV/atom; D(E_F) = 9.3 states/eV/cell; calculated total energy = -4.6857 eV per atom; calculated density = 11.69 g cm⁻³; symmetry = P4/mbm
1.0
6.792 0.000 0.000
0.000 6.792 0.000
0.000 0.000 3.832
Be Re Bi
4 2 4
Direct
0.135 0.365 0.000
0.365 0.865 0.000
0.635 0.135 0.000
0.865 0.635 0.000
0.000 0.000 0.000
0.500 0.500 0.000
0.177 0.677 0.500
0.323 0.177 0.500
0.677 0.823 0.500
0.823 0.323 0.500

***

# 8
CaSmPt GGA-PBE relaxed; formation energy from the elements = -689.8 meV/atom; D(E_F) = 2.5 states/eV/cell; calculated total energy = -4.9436 eV per atom; calculated density = 6.50 g cm⁻³; symmetry = P3m1
1.0
4.170 0.000 0.000
-2.085 3.611 0.000
0.000 0.000 6.536
Ca Sm Pt
1 1 1
Direct
0.000 0.000 0.000
0.667 0.333 0.527
0.333 0.667 0.748

***

- The lowest D(E_F) belongs to which entry?
  BaPd2Pt